Cu2Pt2Rh after structural relaxation, computed with PBE.

```
Cu2Pt2Rh
1.0
7.291 0.000 0.000
0.000 7.291 0.000
0.000 0.000 2.771
Cu Pt Rh
4 4 2
direct
0.164 0.336 0.000 Cu
0.336 0.836 0.000 Cu
0.664 0.164 0.000 Cu
0.836 0.664 0.000 Cu
0.135 0.635 0.500 Pt
0.365 0.135 0.500 Pt
0.635 0.865 0.500 Pt
0.865 0.365 0.500 Pt
0.000 0.000 0.500 Rh
0.500 0.500 0.500 Rh
```

Output
Distance to the lowest polymorph of the same formula in meV per atom: 191
Spin magnetization in μB/f.u.: 1.1
Crystal system: tetragonal
Total energy in eV for the cell shown: -53.73
DFT formation energy in eV per atom: 0.152